A plane-wave DFT calculation with PBE-GGA was carried out for a relaxed K2NpAuSe4 crystal.

abc: 6.9732 6.6758 6.6758
angles: 74.17 58.52 58.52
Last column: nearest neighbours and their distance in Å.
Sites, in units of the cell vectors:
Se  0.4345  0.6433  0.0000  1 Au 2.65, 1 Np 2.70
Au  0.5000  0.0000  0.0000  4 Se 2.65
K  0.5000  0.5000  0.5000  8 Se 3.41-3.46, 2 K 3.49
Se  0.5655  0.0000  0.3567  1 Au 2.65, 1 Np 2.70
K  0.0000  0.5000  0.5000  8 Se 3.41-3.46, 2 K 3.49
Se  0.9222  0.0000  0.6433  1 Au 2.65, 1 Np 2.70
Se  0.0778  0.3567  0.0000  1 Au 2.65, 1 Np 2.70
Np  0.0000  0.0000  0.0000  4 Se 2.70

Summary:
- Total magnetic moment: 2.0 μB/f.u.
- ΔE_f (raw): -0.75 eV/atom
- Crystal system: tetragonal

=====

A plane-wave DFT calculation with PBE-GGA was carried out for a relaxed KNp2AuSe4 crystal.

abc: 4.2223 7.3549 14.6721
angles: 90.00 90.00 106.68
Last column: nearest neighbours and their distance in Å.
Sites, in units of the cell vectors:
Np  0.6302  0.2603  0.0662  6 Se 2.89-2.96
Se  0.7336  0.4672  0.8959  1 Au 2.64, 3 Np 2.89-2.91
Au  0.1569  0.3137  0.2500  4 Se 2.60-2.64
Se  0.2664  0.5328  0.1041  1 Au 2.64, 3 Np 2.89-2.91
K  0.8771  0.7543  0.2500  6 Se 3.22-3.39
Se  0.0000  0.0000  0.5000  4 Np 2.96
Se  0.0000  0.0000  0.0000  4 Np 2.96
Se  0.4507  0.9014  0.7500  2 Au 2.60
Se  0.5493  0.0986  0.2500  2 Au 2.60
Se  0.7336  0.4672  0.6041  1 Au 2.64, 3 Np 2.89-2.91
Np  0.3698  0.7397  0.9338  6 Se 2.89-2.96
Np  0.3698  0.7397  0.5662  6 Se 2.89-2.96
K  0.1229  0.2457  0.7500  6 Se 3.22-3.39
Np  0.6302  0.2603  0.4338  6 Se 2.89-2.96
Au  0.8431  0.6863  0.7500  4 Se 2.60-2.64
Se  0.2664  0.5328  0.3959  1 Au 2.64, 3 Np 2.89-2.91

Summary:
- Total magnetic moment: 8.0 μB/f.u.
- ΔE_f (raw): -0.99 eV/atom
- Crystal system: orthorhombic

=====

A plane-wave DFT calculation with PBE-GGA was carried out for a relaxed K3NpAu2Se6 crystal.

abc: 7.8891 7.8891 8.7064
angles: 90.00 90.00 120.00
Last column: nearest neighbours and their distance in Å.
Sites, in units of the cell vectors:
Au  0.6667  0.3333  0.6971  3 Se 2.48
Np  0.0000  0.0000  0.5000  6 Se 2.72
Se  0.3037  0.1519  0.7017  1 Au 2.48, 1 Np 2.72
Se  0.6963  0.8481  0.2983  1 Au 2.48, 1 Np 2.72
K  0.3333  0.6667  0.6777  1 Au 3.26
K  0.6667  0.3333  0.3223  1 Au 3.26
Au  0.3333  0.6667  0.3029  3 Se 2.48
Se  0.8481  0.1519  0.7017  1 Au 2.48, 1 Np 2.72
K  0.0000  0.0000  0.0000  6 Se 3.32
Se  0.1519  0.8481  0.2983  1 Au 2.48, 1 Np 2.72
Se  0.1519  0.3037  0.2983  1 Au 2.48, 1 Np 2.72
Se  0.8481  0.6963  0.7017  1 Au 2.48, 1 Np 2.72

Summary:
- Total magnetic moment: 0.9 μB/f.u.
- ΔE_f (raw): -0.67 eV/atom
- Crystal system: trigonal

=====

A plane-wave DFT calculation with PBE-GGA was carried out for a relaxed KNp2Te4Au crystal.

abc: 4.4685 7.8766 15.6325
angles: 90.00 90.00 106.48
Last column: nearest neighbours and their distance in Å.
Sites, in units of the cell vectors:
Au  0.8457  0.6913  0.7500  4 Te 2.75-2.81
Np  0.6308  0.2616  0.0679  6 Te 3.11-3.17
Te  0.7317  0.4633  0.8923  1 Au 2.81, 3 Np 3.11-3.14
K  0.8739  0.7478  0.2500  6 Te 3.45-3.53
Np  0.3692  0.7384  0.5679  6 Te 3.11-3.17
K  0.1261  0.2522  0.7500  6 Te 3.45-3.53
Te  0.5480  0.0960  0.2500  2 Au 2.75
Au  0.1543  0.3087  0.2500  4 Te 2.75-2.81
Te  0.2683  0.5367  0.3923  1 Au 2.81, 3 Np 3.11-3.14
Te  0.0000  0.0000  0.0000  4 Np 3.17
Te  0.0000  0.0000  0.5000  4 Np 3.17
Te  0.2683  0.5367  0.1077  1 Au 2.81, 3 Np 3.11-3.14
Np  0.6308  0.2616  0.4321  6 Te 3.11-3.17
Np  0.3692  0.7384  0.9321  6 Te 3.11-3.17
Te  0.4520  0.9040  0.7500  2 Au 2.75
Te  0.7317  0.4633  0.6077  1 Au 2.81, 3 Np 3.11-3.14

Summary:
- Total magnetic moment: 8.0 μB/f.u.
- ΔE_f (raw): -0.66 eV/atom
- Crystal system: orthorhombic

=====

A plane-wave DFT calculation with PBE-GGA was carried out for a relaxed K2NpTe4Au2 crystal.

abc: 4.4583 8.5145 8.3497
angles: 108.50 105.48 90.00
Last column: nearest neighbours and their distance in Å.
Sites, in units of the cell vectors:
Np  0.0000  0.0000  0.0000  6 Te 3.08-3.11
K  0.1336  0.5834  0.2672  7 Te 3.52-3.75, 1 Au 3.92
Au  0.6751  0.9888  0.3502  4 Te 2.77-2.99
Te  0.5089  0.7522  0.0179  1 Au 2.77
Te  0.4911  0.2478  0.9821  1 Au 2.77
Te  0.1980  0.2002  0.3961  3 Au 2.81-2.99, 1 Np 3.08
K  0.8664  0.4166  0.7328  7 Te 3.52-3.75, 1 Au 3.92
Au  0.3249  0.0112  0.6498  4 Te 2.77-2.99
Te  0.8020  0.7998  0.6039  3 Au 2.81-2.99, 1 Np 3.08

Summary:
- Total magnetic moment: 3.2 μB/f.u.
- ΔE_f (raw): -0.65 eV/atom
- Crystal system: monoclinic

=====

A plane-wave DFT calculation with PBE-GGA was carried out for a relaxed KNpTe2Au crystal.

abc: 6.1812 6.1946 8.9901
angles: 110.15 90.00 90.00
Last column: nearest neighbours and their distance in Å.
Sites, in units of the cell vectors:
Te  0.7508  0.8692  0.7385  1 Au 2.69
K  0.7636  0.2500  0.5000  8 Te 3.61-3.76
Te  0.2492  0.1308  0.2616  1 Au 2.69
Np  0.5000  0.7500  0.0000  2 Np 3.10, 4 Te 3.11, 4 Au 3.46
Te  0.7508  0.6308  0.2616  1 Au 2.69
Te  0.2492  0.3692  0.7385  1 Au 2.69
K  0.2364  0.7500  0.5000  8 Te 3.61-3.76
Au  0.0000  0.0000  0.0000  2 Te 2.69
Np  0.5000  0.2500  0.0000  2 Np 3.10, 4 Te 3.11, 4 Au 3.46
Au  0.0000  0.5000  0.0000  2 Te 2.69

Summary:
- Total magnetic moment: 5.0 μB/f.u.
- ΔE_f (raw): -0.54 eV/atom
- Crystal system: orthorhombic